LaSF: relaxed, PBE-GGA.

a b c (Å): 4.9373 4.9373 4.9373
angles (deg): 132.00 132.00 70.23
Element x y z (fractional)
La 0.0000 0.0000 0.0000
S 0.3853 0.3853 0.0000
F 0.7257 0.7257 0.0000

Properties
E = -6.30 eV/atom
calculated density = 4842 kg/m³
ΔE_f (raw) = -2.6622 eV per atom